[1]
An optimized crystal structure of TlHgW2O. Source: the Alexandria database, functional GGA+U.

Unit cell a=5.8639 b=5.8639 c=4.2099 alpha=90.00 beta=90.00 gamma=90.00
Last column: nearest neighbours and their distance in Å.
Space group P4/mmm (No. 123)
Symmetry-distinct sites (fractional):
Tl1 0.0000 0.0000 0.0000  2 O 2.10
Hg1 0.5000 0.5000 0.5000  8 W 3.61
W1 0.0000 0.5000 0.0000  2 Tl 2.93
O1 0.0000 0.0000 0.5000  2 Tl 2.10

Summary:
raw total energy	-2.7929	eV/atom
total magnetic moment	9.06	Bohr magnetons per cell


[2]
An optimized crystal structure of Rb3Mg2VF9. Source: the Alexandria database, functional GGA+U.

Unit cell a=5.8930 b=5.8930 c=7.2283 alpha=90.00 beta=90.00 gamma=120.00
Last column: nearest neighbours and their distance in Å.
Space group P-3m1 (No. 164)
Symmetry-distinct sites (fractional):
Rb1 0.0000 0.0000 0.0000  12 F 2.94-2.95
Rb2 0.3333 0.6667 0.6650  12 F 2.95-2.96
Mg1 0.3333 0.6667 0.1611  6 F 2.05-2.06
V1 0.0000 0.0000 0.5000  6 F 2.15
F1 0.0000 0.5000 0.0000  2 Mg 2.06
F2 0.1709 0.3417 0.3269  1 Mg 2.05, 1 V 2.15

Summary:
raw total energy	-5.1197	eV/atom
total magnetic moment	3.00	Bohr magnetons per cell


Q: What is the total magnetic moment in the first record?
A: 9.06 Bohr magnetons per cell


Q: What is the formula in the second record?
A: Rb3Mg2VF9


Q: Among the records above, which one has the highest total magnetic moment?
A: TlHgW2O


Q: Which formula does entry 2 have?
A: Rb3Mg2VF9